VASP calculation (SCAN) on a PBEsol-optimized structure of BaZnIn2.

abc: 4.7215 4.7215 5.0040
angles: 90.00 90.00 90.00
Space group P4/mmm (No. 123)
Asymmetric unit:
Ba 0.0000 0.0000 0.0000 [1 per cell]
Zn 0.5000 0.5000 0.0000 [1 per cell]
In 0.0000 0.5000 0.5000 [2 per cell]

Results
DFT formation energy = -0.11 eV per atom
D(E_F) = 3.19 states/eV/cell
size of the total moment = 0.00 μB/cell
uncorrected energy = -30.07 eV/atom